## MgMo2O4 (PBE with a Hubbard U)

Data for crystalline MgMo2O4 at its relaxed geometry.

a = 3.146 Å, b = 10.330 Å, c = 10.353 Å
α = 90.00°, β = 90.00°, γ = 90.00°
Sites, in units of the cell vectors:
Mg1 0.894 0.750 0.144
Mg2 0.894 0.250 0.356
Mg3 0.106 0.750 0.644
Mg4 0.106 0.250 0.856
Mo1 0.286 0.574 0.382
Mo2 0.286 0.074 0.118
Mo3 0.714 0.074 0.618
Mo4 0.286 0.426 0.118
Mo5 0.714 0.426 0.618
Mo6 0.286 0.926 0.382
Mo7 0.714 0.926 0.882
Mo8 0.714 0.574 0.882
O1 0.785 0.885 0.520
O2 0.215 0.115 0.480
O3 0.791 0.000 0.250
O4 0.215 0.885 0.020
O5 0.215 0.615 0.020
O6 0.369 0.250 0.227
O7 0.785 0.115 0.980
O8 0.631 0.250 0.727
O9 0.791 0.500 0.250
O10 0.209 0.000 0.750
O11 0.785 0.615 0.520
O12 0.631 0.750 0.773
O13 0.369 0.750 0.273
O14 0.209 0.500 0.750
O15 0.785 0.385 0.980
O16 0.215 0.385 0.480

Summary:
The value obtained for the volume is 12.0 A^3/atom. Its spin magnetization is 0.857 μB/atom. The raw total energy is -0.253 hartree per atom. The energy above the most stable polymorph in this dataset comes out at 114 meV/atom.